The following is a meta-GGA SCAN calculation of a PBEsol-optimized structure of YPbSe3, from Alexandria.

Geometry as POSCAR:
```
YPbSe3
1.0
5.267 0.000 0.000
0.000 5.267 0.000
0.000 0.000 5.267
Y Pb Se
1 1 3
Cartesian
0.000 0.000 0.000
2.633 2.633 2.633
0.000 2.633 2.633
2.633 0.000 2.633
2.633 2.633 0.000
```

Output
The total energy is -33.041 eV per atom. The formation energy from raw total energies comes out at -25.9 kJ/mol of atoms.

---

The following is a meta-GGA SCAN calculation of a PBEsol-optimized structure of YPbSe, from Alexandria.

Geometry as POSCAR:
```
YPbSe
1.0
7.132 0.000 0.000
0.000 7.132 0.000
0.000 0.000 7.132
Y Pb Se
4 4 4
Cartesian
0.000 0.000 0.000
0.000 3.566 3.566
3.566 0.000 3.566
3.566 3.566 0.000
1.783 1.783 1.783
1.783 5.349 5.349
5.349 1.783 5.349
5.349 5.349 1.783
0.000 0.000 3.566
0.000 3.566 0.000
3.566 0.000 0.000
3.566 3.566 3.566
```

Output
The total energy is -41.433 eV per atom. The formation energy from raw total energies comes out at -19.2 kJ/mol of atoms.

---

The following is a meta-GGA SCAN calculation of a PBEsol-optimized structure of Zn2PbSe, from Alexandria.

Geometry as POSCAR:
```
Zn2PbSe
1.0
4.672 0.000 0.000
0.000 5.128 0.000
0.000 0.000 6.816
Zn Pb Se
4 2 2
Cartesian
0.000 0.000 1.369
0.000 0.000 5.446
2.336 2.564 1.369
2.336 2.564 5.446
0.000 2.564 3.408
2.336 0.000 3.408
0.000 2.564 0.000
2.336 0.000 0.000
```

Output
The total energy is -30.604 eV per atom. The formation energy from raw total energies comes out at 11.4 kJ/mol of atoms. As for the energy above the most stable polymorph in this dataset: 0.000 eV/atom.